## La4Mg3Ni2 (PBE)

Data for a relaxed La4Mg3Ni2 crystal.

Summary:
total moment = 0.0 μB/f.u.
total DFT energy (no corrections) = -4.17 eV/atom

Cell and atoms, written as CIF:
```
data_La4Mg3Ni2
_chemical_formula_sum 'La4 Mg3 Ni2'
_cell_length_a 7.7281
_cell_length_b 3.8449
_cell_length_c 8.5098
_cell_angle_alpha 90.00
_cell_angle_beta 108.67
_cell_angle_gamma 90.00
_symmetry_space_group_name_H-M 'P 1'
_symmetry_Int_Tables_number 1
_symmetry_space_group_name_Hall 'P 1'
loop_
_atom_site_label
_atom_site_fract_x
_atom_site_fract_y
_atom_site_fract_z
Ni1 0.1600 0.0000 0.6104
La1 0.1039 0.5000 0.3203
Ni2 0.8400 0.0000 0.3896
Mg1 0.2006 0.0000 0.9988
Mg2 0.7994 0.0000 0.0012
La2 0.5863 0.5000 0.2158
La3 0.8961 0.5000 0.6797
Mg3 0.5000 0.0000 0.5000
La4 0.4137 0.5000 0.7842
```

## LaPrMg4Ni2 (PBE)

Data for a relaxed LaPrMg4Ni2 crystal.

Summary:
total moment = 0.0 μB/f.u.
total DFT energy (no corrections) = -3.62 eV/atom

Cell and atoms, written as CIF:
```
data_LaPrMg4Ni2
_chemical_formula_sum 'La1 Pr1 Mg4 Ni2'
_cell_length_a 8.2715
_cell_length_b 5.4797
_cell_length_c 5.4797
_cell_angle_alpha 44.93
_cell_angle_beta 90.00
_cell_angle_gamma 90.00
_symmetry_space_group_name_H-M 'P 1'
_symmetry_Int_Tables_number 1
_symmetry_space_group_name_Hall 'P 1'
loop_
_atom_site_label
_atom_site_fract_x
_atom_site_fract_y
_atom_site_fract_z
Ni1 0.0000 0.2741 0.2741
Mg1 0.8073 0.8465 0.8465
Pr1 0.0000 0.5604 0.5604
Mg2 0.3037 0.1540 0.1540
Mg3 0.1927 0.8465 0.8465
Mg4 0.6963 0.1540 0.1540
Ni2 0.5000 0.7246 0.7246
La1 0.5000 0.4398 0.4398
```

## La2Mg4NiPt (PBE)

Data for a relaxed La2Mg4NiPt crystal.

Summary:
total moment = 0.0 μB/f.u.
total DFT energy (no corrections) = -3.95 eV/atom

Cell and atoms, written as CIF:
```
data_La2Mg4NiPt
_chemical_formula_sum 'La2 Mg4 Ni1 Pt1'
_cell_length_a 8.3357
_cell_length_b 5.5851
_cell_length_c 5.5851
_cell_angle_alpha 44.82
_cell_angle_beta 90.00
_cell_angle_gamma 90.00
_symmetry_space_group_name_H-M 'P 1'
_symmetry_Int_Tables_number 1
_symmetry_space_group_name_Hall 'P 1'
loop_
_atom_site_label
_atom_site_fract_x
_atom_site_fract_y
_atom_site_fract_z
Pt1 0.0000 0.7739 0.7739
Ni1 0.5000 0.2257 0.2257
Mg1 0.3091 0.6542 0.6542
Mg2 0.6909 0.6542 0.6542
Mg3 0.8011 0.3451 0.3451
La1 0.0000 0.0614 0.0614
Mg4 0.1989 0.3451 0.3451
La2 0.5000 0.9403 0.9403
```

## LaMgTlNi (PBE)

Data for a relaxed LaMgTlNi crystal.

Summary:
total moment = 0.0 μB/f.u.
distance to the lowest polymorph of the same formula = 134.4 meV per atom

Cell and atoms, written as CIF:
```
data_LaMgTlNi
_chemical_formula_sum 'La1 Mg1 Tl1 Ni1'
_cell_length_a 5.0696
_cell_length_b 5.0696
_cell_length_c 5.0696
_cell_angle_alpha 60.00
_cell_angle_beta 60.00
_cell_angle_gamma 60.00
_symmetry_space_group_name_H-M 'P 1'
_symmetry_Int_Tables_number 1
_symmetry_space_group_name_Hall 'P 1'
loop_
_atom_site_label
_atom_site_fract_x
_atom_site_fract_y
_atom_site_fract_z
Mg1 0.7500 0.7500 0.7500
Tl1 0.2500 0.2500 0.2500
La1 0.0000 0.0000 0.0000
Ni1 0.5000 0.5000 0.5000
```

## LaMgTlNi (PBE)

Data for a relaxed LaMgTlNi crystal.

Summary:
total moment = 0.0 μB/f.u.
distance to the lowest polymorph of the same formula = 0.0 meV per atom

Cell and atoms, written as CIF:
```
data_LaMgTlNi
_chemical_formula_sum 'La1 Mg1 Tl1 Ni1'
_cell_length_a 5.0711
_cell_length_b 5.0711
_cell_length_c 5.0711
_cell_angle_alpha 60.00
_cell_angle_beta 60.00
_cell_angle_gamma 60.00
_symmetry_space_group_name_H-M 'P 1'
_symmetry_Int_Tables_number 1
_symmetry_space_group_name_Hall 'P 1'
loop_
_atom_site_label
_atom_site_fract_x
_atom_site_fract_y
_atom_site_fract_z
Tl1 0.0000 0.0000 0.0000
La1 0.2500 0.2500 0.2500
Ni1 0.5000 0.5000 0.5000
Mg1 0.7500 0.7500 0.7500
```

## LaMgTlNi (PBE)

Data for a relaxed LaMgTlNi crystal.

Summary:
total moment = 0.0 μB/f.u.
distance to the lowest polymorph of the same formula = 9.8 meV per atom

Cell and atoms, written as CIF:
```
data_LaMgTlNi
_chemical_formula_sum 'La1 Mg1 Tl1 Ni1'
_cell_length_a 4.9727
_cell_length_b 4.9727
_cell_length_c 4.9727
_cell_angle_alpha 60.00
_cell_angle_beta 60.00
_cell_angle_gamma 60.00
_symmetry_space_group_name_H-M 'P 1'
_symmetry_Int_Tables_number 1
_symmetry_space_group_name_Hall 'P 1'
loop_
_atom_site_label
_atom_site_fract_x
_atom_site_fract_y
_atom_site_fract_z
Tl1 0.0000 0.0000 0.0000
Mg1 0.7500 0.7500 0.7500
La1 0.5000 0.5000 0.5000
Ni1 0.2500 0.2500 0.2500
```

## LaYMgNi (PBE)

Data for a relaxed LaYMgNi crystal.

Summary:
total moment = 0.0 μB/f.u.
distance to the lowest polymorph of the same formula = 128.0 meV per atom

Cell and atoms, written as CIF:
```
data_LaYMgNi
_chemical_formula_sum 'La1 Y1 Mg1 Ni1'
_cell_length_a 5.0377
_cell_length_b 5.0377
_cell_length_c 5.0377
_cell_angle_alpha 60.00
_cell_angle_beta 60.00
_cell_angle_gamma 60.00
_symmetry_space_group_name_H-M 'P 1'
_symmetry_Int_Tables_number 1
_symmetry_space_group_name_Hall 'P 1'
loop_
_atom_site_label
_atom_site_fract_x
_atom_site_fract_y
_atom_site_fract_z
Y1 0.0000 0.0000 0.0000
Ni1 0.5000 0.5000 0.5000
La1 0.2500 0.2500 0.2500
Mg1 0.7500 0.7500 0.7500
```

## LaYMgNi (PBE)

Data for a relaxed LaYMgNi crystal.

Summary:
total moment = 0.0 μB/f.u.
distance to the lowest polymorph of the same formula = 0.0 meV per atom

Cell and atoms, written as CIF:
```
data_LaYMgNi
_chemical_formula_sum 'La1 Y1 Mg1 Ni1'
_cell_length_a 5.1868
_cell_length_b 5.1868
_cell_length_c 5.1868
_cell_angle_alpha 60.00
_cell_angle_beta 60.00
_cell_angle_gamma 60.00
_symmetry_space_group_name_H-M 'P 1'
_symmetry_Int_Tables_number 1
_symmetry_space_group_name_Hall 'P 1'
loop_
_atom_site_label
_atom_site_fract_x
_atom_site_fract_y
_atom_site_fract_z
Ni1 0.2500 0.2500 0.2500
Y1 0.0000 0.0000 0.0000
La1 0.5000 0.5000 0.5000
Mg1 0.7500 0.7500 0.7500
```

## La2Mg3ZnNi2 (PBE)

Data for a relaxed La2Mg3ZnNi2 crystal.

Summary:
total moment = 0.0 μB/f.u.
total DFT energy (no corrections) = -3.66 eV/atom

Cell and atoms, written as CIF:
```
data_La2Mg3ZnNi2
_chemical_formula_sum 'La2 Mg3 Zn1 Ni2'
_cell_length_a 5.4338
_cell_length_b 5.4338
_cell_length_c 8.1614
_cell_angle_alpha 90.07
_cell_angle_beta 90.07
_cell_angle_gamma 45.21
_symmetry_space_group_name_H-M 'P 1'
_symmetry_Int_Tables_number 1
_symmetry_space_group_name_Hall 'P 1'
loop_
_atom_site_label
_atom_site_fract_x
_atom_site_fract_y
_atom_site_fract_z
Mg1 0.1553 0.1553 0.0573
Ni1 0.2761 0.2761 0.7431
Ni2 0.7206 0.7206 0.2562
Mg2 0.8473 0.8473 0.9464
La1 0.4436 0.4436 0.2606
Zn1 0.1555 0.1555 0.4448
La2 0.5608 0.5608 0.7399
Mg3 0.8408 0.8408 0.5517
```

## LaMgNp (PBE)

Data for a relaxed LaMgNp crystal.

Summary:
total moment = 6.0 μB/f.u.
total DFT energy (no corrections) = -5.51 eV/atom

Cell and atoms, written as CIF:
```
data_LaMgNp
_chemical_formula_sum 'La1 Mg1 Np1'
_cell_length_a 5.2339
_cell_length_b 5.2339
_cell_length_c 5.2339
_cell_angle_alpha 60.00
_cell_angle_beta 60.00
_cell_angle_gamma 60.00
_symmetry_space_group_name_H-M 'P 1'
_symmetry_Int_Tables_number 1
_symmetry_space_group_name_Hall 'P 1'
loop_
_atom_site_label
_atom_site_fract_x
_atom_site_fract_y
_atom_site_fract_z
Np1 0.7500 0.7500 0.7500
Mg1 0.0000 0.0000 0.0000
La1 0.2500 0.2500 0.2500
```

## La2PrMgO6 (PBE)

Data for a relaxed La2PrMgO6 crystal.

Summary:
total moment = 1.0 μB/f.u.
total DFT energy (no corrections) = -7.50 eV/atom

Cell and atoms, written as CIF:
```
data_La2PrMgO6
_chemical_formula_sum 'La4 Pr2 Mg2 O12'
_cell_length_a 5.8199
_cell_length_b 5.9535
_cell_length_c 10.0825
_cell_angle_alpha 90.00
_cell_angle_beta 123.74
_cell_angle_gamma 90.00
_symmetry_space_group_name_H-M 'P 1'
_symmetry_Int_Tables_number 1
_symmetry_space_group_name_Hall 'P 1'
loop_
_atom_site_label
_atom_site_fract_x
_atom_site_fract_y
_atom_site_fract_z
O1 0.8681 0.0625 0.2341
La1 0.2749 0.5540 0.7529
O2 0.8681 0.4375 0.7341
O3 0.3940 0.7062 0.0692
La2 0.7251 0.0540 0.7471
O4 0.7175 0.8165 0.9292
O5 0.3940 0.7938 0.5692
Mg1 0.5000 0.0000 0.0000
O6 0.1319 0.5625 0.2659
O7 0.7175 0.6835 0.4292
La3 0.7251 0.4460 0.2471
La4 0.2749 0.9460 0.2529
Pr1 0.0000 0.0000 0.5000
O8 0.2825 0.1835 0.0708
Pr2 0.0000 0.5000 0.0000
O9 0.6060 0.2062 0.4308
O10 0.6060 0.2938 0.9308
Mg2 0.5000 0.5000 0.5000
O11 0.2825 0.3165 0.5708
O12 0.1319 0.9375 0.7659
```

## La2TbMgO6 (PBE)

Data for a relaxed La2TbMgO6 crystal.

Summary:
total moment = 1.0 μB/f.u.
total DFT energy (no corrections) = -7.59 eV/atom

Cell and atoms, written as CIF:
```
data_La2TbMgO6
_chemical_formula_sum 'La4 Tb2 Mg2 O12'
_cell_length_a 5.7247
_cell_length_b 5.9048
_cell_length_c 9.9121
_cell_angle_alpha 90.00
_cell_angle_beta 124.39
_cell_angle_gamma 90.00
_symmetry_space_group_name_H-M 'P 1'
_symmetry_Int_Tables_number 1
_symmetry_space_group_name_Hall 'P 1'
loop_
_atom_site_label
_atom_site_fract_x
_atom_site_fract_y
_atom_site_fract_z
O1 0.2336 0.3113 0.4385
La1 0.2319 0.9467 0.7490
O2 0.8782 0.2034 0.5619
O3 0.1218 0.7966 0.4381
O4 0.8782 0.2966 0.0619
O5 0.2336 0.1887 0.9385
O6 0.3580 0.5497 0.7395
O7 0.7664 0.8113 0.0615
O8 0.6420 0.4503 0.2605
La2 0.2319 0.5533 0.2490
O9 0.6420 0.0497 0.7605
Tb1 0.5000 0.5000 0.0000
Tb2 0.5000 0.0000 0.5000
O10 0.7664 0.6887 0.5615
O11 0.1218 0.7034 0.9381
La3 0.7681 0.4467 0.7510
O12 0.3580 0.9503 0.2395
Mg1 0.0000 0.0000 0.0000
La4 0.7681 0.0533 0.2510
Mg2 0.0000 0.5000 0.5000
```